LaSc2W after structural relaxation. Source: Alexandria via LeMat-Bulk, functional GGA-PBE.

Properties
- SG: I4/mmm (139)
- Energy: -7.2357 eV/atom
- Energy of formation from the pure elements: 0.4002 eV/atom

The structure in extended XYZ format:
```
4
Lattice="-2.3252 2.3252 4.1922 2.3252 -2.3252 4.1922 2.3252 2.3252 -4.1922" Properties=species:S:1:pos:R:3 pbc="T T T"
La 0.0000 0.0000 0.0000
Sc 2.3252 0.0000 2.0961
Sc 0.0000 2.3252 2.0961
W 0.0000 0.0000 4.1922
```



Ac5Sn2Os after structural relaxation. Source: Alexandria via LeMat-Bulk, functional GGA-PBE.

Properties
- SG: Cmcm (63)
- Energy: -5.1304 eV/atom
- Energy of formation from the pure elements: -0.1582 eV/atom

The structure in extended XYZ format:
```
16
Lattice="3.2180 -6.9941 0.0000 3.2180 6.9941 0.0000 0.0000 0.0000 15.6020" Properties=species:S:1:pos:R:3 pbc="T T T"
Ac 3.2180 6.2651 9.6557
Ac 3.2180 6.2651 13.7472
Ac 3.2180 2.8370 3.9005
Ac 3.2180 2.3282 9.4991
Ac 3.2180 2.3282 13.9039
Ac 3.2180 -2.3282 1.6981
Ac 3.2180 -2.3282 6.1029
Ac 3.2180 -2.8370 11.7015
Ac 3.2180 -6.2651 1.8547
Ac 3.2180 -6.2651 5.9463
Sn 3.2180 4.4772 0.9529
Sn 3.2180 4.4772 6.8481
Sn 3.2180 -4.4772 8.7539
Sn 3.2180 -4.4772 14.6491
Os 3.2180 4.3179 11.7015
Os 3.2180 -4.3179 3.9005
```



CaPbSeBr2 after structural relaxation. Source: Alexandria via LeMat-Bulk, functional GGA-PBE.

Properties
- SG: P4/mmm (123)
- Energy: -3.2069 eV/atom
- E_form (uncorrected): -0.699 eV/atom

The structure in extended XYZ format:
```
5
Lattice="5.5978 0.0000 0.0000 0.0000 5.5978 0.0000 0.0000 0.0000 5.8828" Properties=species:S:1:pos:R:3 pbc="T T T"
Ca 0.0000 0.0000 0.0000
Pb 2.7989 2.7989 2.9414
Se 2.7989 2.7989 0.0000
Br 0.0000 2.7989 2.9414
Br 2.7989 0.0000 2.9414
```



CoNi2HAu after structural relaxation. Source: Alexandria via LeMat-Bulk, functional GGA-PBE.

Properties
- SG: P4/mmm (123)
- Energy: -4.9717 eV/atom

The structure in extended XYZ format:
```
5
Lattice="3.7594 0.0000 0.0000 0.0000 3.7594 0.0000 0.0000 0.0000 3.7186" Properties=species:S:1:pos:R:3 pbc="T T T"
Co 0.0000 0.0000 0.0000
Ni 0.0000 1.8797 1.8593
Ni 1.8797 0.0000 1.8593
H 0.0000 0.0000 1.8593
Au 1.8797 1.8797 0.0000
```



Fe5Co2Ni2 after structural relaxation. Source: Alexandria via LeMat-Bulk, functional GGA-PBE.

Properties
- SG: C2/m (12)
- Energy: -7.5517 eV/atom
- Energy of formation from the pure elements: 0.0136 eV/atom

The structure in extended XYZ format:
```
9
Lattice="5.8714 -2.0100 0.0000 5.8714 2.0100 0.0000 -1.7282 0.0000 4.3834" Properties=species:S:1:pos:R:3 pbc="T T T"
Fe 0.0000 0.0000 0.0000
Fe 0.3357 0.0000 2.4319
Fe 2.7552 0.0000 2.9026
Fe 7.2594 0.0000 1.4807
Fe 9.6789 0.0000 1.9514
Co 2.3678 0.0000 0.4775
Co 7.6469 0.0000 3.9058
Ni 4.8298 0.0000 0.9485
Ni 5.1849 0.0000 3.4348
```



RbCd11Hg after structural relaxation. Source: Alexandria via LeMat-Bulk, functional GGA-PBE.

Properties
- SG: C2/m (12)
- Energy: -0.8923 eV/atom
- Energy of formation from the pure elements: -0.0203 eV/atom

The structure in extended XYZ format:
```
13
Lattice="3.0371 -7.4001 0.0000 3.0371 7.4001 0.0000 -2.7527 0.0000 7.2640" Properties=species:S:1:pos:R:3 pbc="T T T"
Rb 0.0000 0.0000 0.0000
Cd 1.5185 3.7000 0.0000
Cd 0.2502 4.7560 4.6804
Cd 0.2604 1.6324 5.6708
Cd 3.0713 4.7560 2.5835
Cd 3.0611 1.6324 1.5931
Cd 1.5185 -3.7000 0.0000
Cd 1.6607 0.0000 3.6320
Cd 0.2604 -1.6324 5.6708
Cd 0.2502 -4.7560 4.6804
Cd 3.0611 -1.6324 1.5931
Cd 3.0713 -4.7560 2.5835
Hg -1.3763 0.0000 3.6320
```



Hg2AuBr6 after structural relaxation. Source: Alexandria via LeMat-Bulk, functional GGA-PBE.

Properties
- SG: P2_1/c (14)
- Energy: -1.8491 eV/atom
- E_form (uncorrected): -0.303 eV/atom

The structure in extended XYZ format:
```
18
Lattice="4.8546 0.0000 0.0000 0.0000 11.0024 0.0000 -4.7881 0.0000 12.2619" Properties=species:S:1:pos:R:3 pbc="T T T"
Hg 0.8921 1.7498 0.0418
Hg -1.5019 3.7514 6.1728
Hg 1.5684 7.2510 6.0891
Hg -0.8256 9.2526 12.2200
Au -2.3941 0.0000 6.1309
Au 0.0000 5.5012 0.0000
Br -4.1256 7.3814 10.6692
Br -1.7316 9.1221 4.5382
Br -1.2120 1.7641 4.5460
Br -3.6061 3.7371 10.6769
Br -1.1652 5.7572 7.6960
Br 1.2289 10.7463 1.5650
Br -1.1624 0.2561 10.6969
Br 1.2317 5.2451 4.5659
Br 3.6726 7.2653 1.5849
Br 1.2785 9.2383 7.7159
Br 1.7981 1.8803 7.7237
Br 4.1921 3.6209 1.5927
```



LiAsOs2 after structural relaxation. Source: Alexandria via LeMat-Bulk, functional GGA-PBE.

Properties
- SG: P4mm (99)
- Energy: -7.0629 eV/atom
- Energy of formation from the pure elements: 0.1929 eV/atom

The structure in extended XYZ format:
```
4
Lattice="3.0247 0.0000 0.0000 0.0000 3.0247 0.0000 0.0000 0.0000 5.8393" Properties=species:S:1:pos:R:3 pbc="T T T"
Li 0.0000 0.0000 0.0000
As 1.5124 1.5124 4.5599
Os 0.0000 0.0000 3.0429
Os 1.5124 1.5124 1.3478
```



> Look up the energy of the eighth one.

-7.0629 eV/atom